Material: MgTlCo2F8
Method: DFT, GGA+U
State: relaxed

Lattice parameters (Å, degrees): 4.9291 4.9049 6.7227 90.00 90.00 88.76
Site moments in Bohr magnetons follow the coordinates.
Fractional coordinates of all 12 atoms:
Mg  0.0000  0.0000  0.0000  0.00
Tl  0.0000  0.0000  0.5000  -0.17
Co  0.5000  0.5000  0.7656  2.79
Co  0.5000  0.5000  0.2344  2.79
F  0.2057  0.7915  0.2124  0.01
F  0.6984  0.7011  0.0000  0.05
F  0.7942  0.2085  0.2124  0.01
F  0.7943  0.2085  0.7876  0.01
F  0.3016  0.2989  0.0000  0.05
F  0.2058  0.7915  0.7876  0.01
F  0.6673  0.6705  0.5000  0.01
F  0.3327  0.3295  0.5000  0.01

## Properties
symmetry: P2/m (10)
spin magnetization: 5.6 Bohr magnetons per cell
electronic total energy: -4.76 eV/atom